Entry 1:
Compound: Cs3HoTe2O9
Source: Alexandria via LeMat-Bulk
Functional: PBE
Structure: relaxed

Properties
N(E_F) (states/eV per cell): 8.5
Uncorrected formation energy (eV/atom): -1.50
Total moment (μB per formula unit): 0.000
ρ (g/cm3): 6.80

Lattice parameters (Å, degrees): 6.0531 6.0531 7.4100 90.00 90.00 120.00
With the nearest neighbours (Å) after each atom.
Space group P-3m1 (No. 164)
Symmetry-distinct sites (fractional):
Cs 0.0000 0.0000 0.0000 [1 per cell]  12 O 3.01-3.03
Cs 0.3333 0.6667 0.6685 [2 per cell]  12 O 3.01-3.07
Ho 0.0000 0.0000 0.5000 [1 per cell]  6 O 2.32
Te 0.3333 0.6667 0.1726 [2 per cell]  3 O 1.93
O 0.0000 0.5000 0.0000 [3 per cell]  2 Te 2.17
O 0.1795 0.3590 0.3165 [6 per cell]  1 Te 1.93

Entry 2:
Compound: CsHoTiO4
Source: Alexandria via LeMat-Bulk
Functional: PBE
Structure: relaxed

Properties
N(E_F) (states/eV per cell): 0.0
Uncorrected formation energy (eV/atom): -2.94
Total moment (μB per formula unit): 0.000
ρ (g/cm3): 4.93

Lattice parameters (Å, degrees): 5.9255 6.0712 8.1657 90.00 110.06 90.00
With the nearest neighbours (Å) after each atom.
Space group P2_1/m (No. 11)
Symmetry-distinct sites (fractional):
Cs 0.1929 0.2500 0.4354 [2 per cell]  2 O 2.85-3.09
Ho 0.3131 0.2500 0.9619 [2 per cell]  6 O 2.24-2.38
Ti 0.2319 0.7500 0.1450 [2 per cell]  4 O 1.78-1.87
O 0.0039 0.7500 0.9359 [2 per cell]  1 Ti 1.78
O 0.0358 0.7500 0.2765 [2 per cell]  1 Ti 1.83
O 0.4504 0.5243 0.1545 [4 per cell]  1 Ti 1.87